A plane-wave DFT calculation with PBE was carried out for a geometry-optimized PuUAlRe structure.

Cell lengths 6.674, 6.674, 6.674 Å; angles 90.00, 90.00, 90.00 degrees
Space group F-43m (No. 216)
Inequivalent atoms, fractional coordinates:
Pu 0.000 0.000 0.000 (multiplicity 4)
U 0.250 0.250 0.250 (multiplicity 4)
Al 0.250 0.250 0.750 (multiplicity 4)
Re 0.000 0.000 0.500 (multiplicity 4)

Values from the calculation:
* VASP energy: -10.49 eV per atom
* ΔE_f: -35 meV/atom